No. 1
# meta-GGA SCAN Be2PdO, PBEsol geometry
data_Be2PdO
_chemical_formula_sum 'Be8 Pd4 O4'
_cell_length_a 4.914
_cell_length_b 4.914
_cell_length_c 6.711
_cell_angle_alpha 90.00
_cell_angle_beta 90.00
_cell_angle_gamma 90.00
_symmetry_space_group_name_H-M 'I -4 2 d'
_symmetry_Int_Tables_number 122
_symmetry_space_group_name_Hall 'I -4 2bw'
loop_
_atom_site_label
_atom_site_type_symbol
_atom_site_fract_x
_atom_site_fract_y
_atom_site_fract_z
Be1 Be 0.136 0.250 0.125
Pd1 Pd 0.000 0.000 0.500
O1 O 0.000 0.000 0.000
# ΔE_f (raw) in eV/atom: -1.227

No. 2
# meta-GGA SCAN MgSi2P, PBEsol geometry
data_MgSi2P
_chemical_formula_sum 'Mg4 Si8 P4'
_cell_length_a 6.312
_cell_length_b 6.312
_cell_length_c 6.312
_cell_angle_alpha 90.00
_cell_angle_beta 90.00
_cell_angle_gamma 90.00
_symmetry_space_group_name_H-M 'F -4 3 m'
_symmetry_Int_Tables_number 216
_symmetry_space_group_name_Hall 'F -4 2 3'
loop_
_atom_site_label
_atom_site_type_symbol
_atom_site_fract_x
_atom_site_fract_y
_atom_site_fract_z
Mg1 Mg 0.000 0.000 0.000
Si1 Si 0.000 0.000 0.500
Si2 Si 0.250 0.250 0.750
P1 P 0.250 0.250 0.250
# E above lowest polymorph in meV/atom: 210.9
# ΔE_f (raw) in eV/atom: 0.471

No. 3
Density functional theory data (meta-GGA SCAN) for NaSc3P8H14O24 at its PBEsol-relaxed geometry.

The structure in CIF format:
```
data_NaSc3P8H14O24
_chemical_formula_sum 'Na1 Sc3 P8 H14 O24'
_cell_length_a 7.228
_cell_length_b 9.612
_cell_length_c 9.615
_cell_angle_alpha 115.40
_cell_angle_beta 101.19
_cell_angle_gamma 100.69
_symmetry_space_group_name_H-M 'P -1'
_symmetry_Int_Tables_number 2
loop_
_symmetry_equiv_pos_as_xyz
'x,y,z'
'-x,-y,-z'
loop_
_atom_site_label
_atom_site_type_symbol
_atom_site_fract_x
_atom_site_fract_y
_atom_site_fract_z
Na1 Na 0.000 0.000 0.000
Sc1 Sc 0.000 0.500 0.500
Sc2 Sc 0.498 0.225 0.768
P1 P 0.196 0.845 0.475
P2 P 0.206 0.374 0.010
P3 P 0.307 0.251 0.422
P4 P 0.324 0.774 0.876
H1 H 0.016 0.880 0.444
H2 H 0.028 0.383 0.929
H3 H 0.156 0.332 0.217
H4 H 0.240 0.986 0.297
H5 H 0.275 0.941 0.780
H6 H 0.483 0.200 0.138
H7 H 0.493 0.308 0.408
O1 O 0.141 0.273 0.097
O2 O 0.149 0.677 0.459
O3 O 0.184 0.358 0.400
O4 O 0.194 0.612 0.733
O5 O 0.205 0.075 0.273
O6 O 0.253 0.919 0.874
O7 O 0.289 0.272 0.883
O8 O 0.292 0.860 0.350
O9 O 0.325 0.974 0.650
O10 O 0.335 0.789 0.041
O11 O 0.336 0.243 0.578
O12 O 0.339 0.540 0.136
```

No. 4
# meta-GGA SCAN LaCd2TcSe, PBEsol geometry
data_LaCd2TcSe
_chemical_formula_sum 'La1 Cd2 Tc1 Se1'
_cell_length_a 5.030
_cell_length_b 5.030
_cell_length_c 5.557
_cell_angle_alpha 90.00
_cell_angle_beta 90.00
_cell_angle_gamma 90.00
_symmetry_space_group_name_H-M 'P 4/m m m'
_symmetry_Int_Tables_number 123
_symmetry_space_group_name_Hall '-P 4 2'
loop_
_atom_site_label
_atom_site_type_symbol
_atom_site_fract_x
_atom_site_fract_y
_atom_site_fract_z
La1 La 0.000 0.000 0.000
Cd1 Cd 0.000 0.500 0.500
Tc1 Tc 0.500 0.500 0.000
Se1 Se 0.000 0.000 0.500
# ΔE_f (raw) in eV/atom: 0.633

No. 5
# meta-GGA SCAN KAu2Cl, PBEsol geometry
data_KAu2Cl
_chemical_formula_sum 'K1 Au2 Cl1'
_cell_length_a 3.965
_cell_length_b 3.471
_cell_length_c 7.259
_cell_angle_alpha 90.00
_cell_angle_beta 105.57
_cell_angle_gamma 90.00
_symmetry_space_group_name_H-M 'P 1 m 1'
_symmetry_Int_Tables_number 6
loop_
_symmetry_equiv_pos_as_xyz
'x,y,z'
'x,-y,z'
loop_
_atom_site_label
_atom_site_type_symbol
_atom_site_fract_x
_atom_site_fract_y
_atom_site_fract_z
K1 K 0.000 0.000 0.000
Au1 Au 0.234 0.000 0.467
Au2 Au 0.698 0.500 0.392
Cl1 Cl 0.406 0.500 0.809
# E above lowest polymorph in meV/atom: 0.0
# ΔE_f (raw) in eV/atom: -0.670

No. 6
# meta-GGA SCAN InNi2Ge, PBEsol geometry
data_InNi2Ge
_chemical_formula_sum 'In4 Ni8 Ge4'
_cell_length_a 6.034
_cell_length_b 6.034
_cell_length_c 6.034
_cell_angle_alpha 90.00
_cell_angle_beta 90.00
_cell_angle_gamma 90.00
_symmetry_space_group_name_H-M 'F m -3 m'
_symmetry_Int_Tables_number 225
_symmetry_space_group_name_Hall '-F 4 2 3'
loop_
_atom_site_label
_atom_site_type_symbol
_atom_site_fract_x
_atom_site_fract_y
_atom_site_fract_z
In1 In 0.000 0.000 0.000
Ni1 Ni 0.250 0.250 0.250
Ge1 Ge 0.000 0.000 0.500
# ΔE_f in eV/atom: -0.01

No. 7
# meta-GGA SCAN HfWNF2, PBEsol geometry
data_HfWNF2
_chemical_formula_sum 'Hf1 W1 N1 F2'
_cell_length_a 4.061
_cell_length_b 4.061
_cell_length_c 4.300
_cell_angle_alpha 90.00
_cell_angle_beta 90.00
_cell_angle_gamma 90.00
_symmetry_space_group_name_H-M 'P 4/m m m'
_symmetry_Int_Tables_number 123
_symmetry_space_group_name_Hall '-P 4 2'
loop_
_atom_site_label
_atom_site_type_symbol
_atom_site_fract_x
_atom_site_fract_y
_atom_site_fract_z
Hf1 Hf 0.000 0.000 0.000
W1 W 0.500 0.500 0.500
N1 N 0.000 0.000 0.500
F1 F 0.000 0.500 0.000
# ΔE_f (raw) in eV/atom: -0.725

No. 8
# meta-GGA SCAN DyGe2Pt2, PBEsol geometry
data_DyGe2Pt2
_chemical_formula_sum 'Dy2 Ge4 Pt4'
_cell_length_a 4.291
_cell_length_b 4.291
_cell_length_c 9.828
_cell_angle_alpha 90.00
_cell_angle_beta 90.00
_cell_angle_gamma 90.00
_symmetry_space_group_name_H-M 'I 4/m m m'
_symmetry_Int_Tables_number 139
_symmetry_space_group_name_Hall '-I 4 2'
loop_
_atom_site_label
_atom_site_type_symbol
_atom_site_fract_x
_atom_site_fract_y
_atom_site_fract_z
Dy1 Dy 0.000 0.000 0.000
Ge1 Ge 0.000 0.000 0.378
Pt1 Pt 0.000 0.500 0.250
# ΔE_f in eV/atom: -0.95

No. 9
# meta-GGA SCAN YIn2Ag, PBEsol geometry
data_YIn2Ag
_chemical_formula_sum 'Y1 In2 Ag1'
_cell_length_a 3.340
_cell_length_b 4.716
_cell_length_c 5.903
_cell_angle_alpha 90.00
_cell_angle_beta 92.05
_cell_angle_gamma 90.00
_symmetry_space_group_name_H-M 'P 1 2/m 1'
_symmetry_Int_Tables_number 10
loop_
_symmetry_equiv_pos_as_xyz
'x,y,z'
'-x,-y,-z'
'-x,y,-z'
'x,-y,z'
loop_
_atom_site_label
_atom_site_type_symbol
_atom_site_fract_x
_atom_site_fract_y
_atom_site_fract_z
Y1 Y 0.000 0.000 0.000
In1 In 0.471 0.500 0.750
Ag1 Ag 0.500 0.000 0.500
# ΔE_f in eV/atom: -0.38

No. 10
# meta-GGA SCAN Sr2Li, PBEsol geometry
data_Sr2Li
_chemical_formula_sum 'Sr4 Li2'
_cell_length_a 4.213
_cell_length_b 4.213
_cell_length_c 14.193
_cell_angle_alpha 90.00
_cell_angle_beta 90.00
_cell_angle_gamma 90.00
_symmetry_space_group_name_H-M 'I 4/m m m'
_symmetry_Int_Tables_number 139
_symmetry_space_group_name_Hall '-I 4 2'
loop_
_atom_site_label
_atom_site_type_symbol
_atom_site_fract_x
_atom_site_fract_y
_atom_site_fract_z
Sr1 Sr 0.000 0.000 0.145
Li1 Li 0.000 0.000 0.500
# E above lowest polymorph in meV/atom: 0.0
# ΔE_f in eV/atom: 0.01

No. 11
# meta-GGA SCAN TlSb2Br, PBEsol geometry
data_TlSb2Br
_chemical_formula_sum 'Tl3 Sb6 Br3'
_cell_length_a 4.2913
_cell_length_b 4.2913
_cell_length_c 24.2233
_cell_angle_alpha 90.00
_cell_angle_beta 90.00
_cell_angle_gamma 120.00
_symmetry_space_group_name_H-M 'R 3 m'
_symmetry_Int_Tables_number 160
_symmetry_space_group_name_Hall 'R 3 -2"'
loop_
_atom_site_label
_atom_site_type_symbol
_atom_site_fract_x
_atom_site_fract_y
_atom_site_fract_z
Tl1 Tl 0.0000 0.0000 0.0000
Sb1 Sb 0.0000 0.0000 0.4952
Sb2 Sb 0.0000 0.0000 0.7648
Br1 Br 0.0000 0.0000 0.2589
# ΔE_f (raw) in eV/atom: -0.314

No. 12
# meta-GGA SCAN KY2Cu, PBEsol geometry
data_KY2Cu
_chemical_formula_sum 'K1 Y2 Cu1'
_cell_length_a 3.475
_cell_length_b 3.475
_cell_length_c 10.321
_cell_angle_alpha 90.00
_cell_angle_beta 90.00
_cell_angle_gamma 90.00
_symmetry_space_group_name_H-M 'P 4/m m m'
_symmetry_Int_Tables_number 123
_symmetry_space_group_name_Hall '-P 4 2'
loop_
_atom_site_label
_atom_site_type_symbol
_atom_site_fract_x
_atom_site_fract_y
_atom_site_fract_z
K1 K 0.000 0.000 0.000
Y1 Y 0.500 0.500 0.345
Cu1 Cu 0.000 0.000 0.500
# E above lowest polymorph in meV/atom: 0.0
# ΔE_f in eV/atom: 0.08

Number 1: density of states at the Fermi level 3.480 states/eV per cell, electronic total energy -13.1556 eV/atom, calculated density 5.76 g cm⁻³. Number 2: density of states at the Fermi level 5.589 states/eV per cell, electronic total energy -8.3799 eV/atom, calculated density 2.94 g cm⁻³. Number 3: density of states at the Fermi level 0.000 states/eV per cell, electronic total energy -8.5847 eV/atom, calculated density 2.37 g cm⁻³. Number 4: density of states at the Fermi level 4.979 states/eV per cell, electronic total energy -31.1814 eV/atom, calculated density 6.39 g cm⁻³. Number 5: density of states at the Fermi level 0.764 states/eV per cell, electronic total energy -39.3248 eV/atom, calculated density 8.08 g cm⁻³. Number 6: density of states at the Fermi level 5.640 states/eV per cell, electronic total energy -21.2111 eV/atom, calculated density 9.22 g cm⁻³. Number 7: density of states at the Fermi level 0.747 states/eV per cell, electronic total energy -30.4717 eV/atom, calculated density 9.70 g cm⁻³. Number 8: density of states at the Fermi level 4.921 states/eV per cell, electronic total energy -46.2216 eV/atom, calculated density 12.81 g cm⁻³. Number 9: density of states at the Fermi level 1.952 states/eV per cell, electronic total energy -31.8721 eV/atom, calculated density 7.62 g cm⁻³. Number 10: density of states at the Fermi level 5.070 states/eV per cell, electronic total energy -15.6412 eV/atom, calculated density 2.40 g cm⁻³. Number 11: density of states at the Fermi level 0.350 states/eV per cell, electronic total energy -41.8984 eV/atom, calculated density 6.81 g cm⁻³. Number 12: density of states at the Fermi level 2.743 states/eV per cell, electronic total energy -19.7247 eV/atom, calculated density 3.74 g cm⁻³.